Density functional theory data (GGA+U) for a geometry-optimized Na2Cr2MoO6 structure.

Output
Size of the total moment: 8.000 μB/f.u.
V: 270 Å³/cell
DOS at the Fermi energy: 0.00 states/eV/cell
Crystal system: monoclinic
Total DFT energy (no corrections): -6.802 eV/atom

Cell: 5.384 9.100 5.840 Å, 90.00 109.24 90.00°
Space group C2/m (No. 12)
Inequivalent atoms, fractional coordinates:
Na 0.000 0.170 0.000 [4 per cell]
Cr 0.000 0.335 0.500 [4 per cell]
Mo 0.000 0.000 0.500 [2 per cell]
O 0.229 0.500 0.693 [4 per cell]
O 0.236 0.169 0.690 [8 per cell]